1.
Entry from the Alexandria database: a relaxed LuPaTi crystal (PBE-GGA).

The structure in POSCAR format:
```
LuPaTi
1.0
-1.2611 2.9268 0.5504
-1.8857 -2.3970 -1.0760
-1.5749 -2.0614 7.3524
Pa Lu Ti
1 1 1
Direct
0.3333 0.6667 0.6505 Pa
0.0000 0.0000 0.0075 Lu
0.6667 0.3333 0.3419 Ti
```

Summary:
DFT total energy ... -7.09 eV per atom
Space group ... P3m1 (156)
Total magnetic moment ... 0.00 μB per formula unit

2.
Entry from the Alexandria database: a relaxed MgZnCl crystal (PBE-GGA).

The structure in POSCAR format:
```
MgZnCl
1.0
-1.3834 -1.2883 2.8380
-1.0032 -1.1373 -3.0538
11.1008 -10.9610 0.4356
Mg Cl Zn
2 2 2
Direct
0.5557 0.1113 0.0000 Mg
0.3333 0.6666 0.5000 Mg
0.2223 0.4447 0.9000 Cl
0.2223 0.4447 0.1000 Cl
0.6665 0.3330 0.6320 Zn
0.6665 0.3330 0.3680 Zn
```

Summary:
DFT total energy ... -2.17 eV per atom
Space group ... Amm2 (38)
Total magnetic moment ... 0.00 μB per formula unit
Distance to the lowest polymorph of the same formula ... 0.0 meV/atom
Formation energy (no corrections) ... -0.60 eV per atom

3.
Entry from the Alexandria database: a relaxed AcMg11Ag crystal (PBE-GGA).

The structure in POSCAR format:
```
AcMg11Ag
1.0
-4.9790 1.7562 -2.4313
-4.5943 -6.1312 -1.5764
-5.5331 1.4500 5.4305
Mg Ag Ac
11 1 1
Direct
0.0061 0.6416 0.3501 Mg
0.6437 0.3584 0.3501 Mg
0.3563 0.6416 0.6499 Mg
0.7085 0.7778 0.7868 Mg
0.2915 0.2222 0.2132 Mg
0.0000 0.5000 0.0000 Mg
0.5000 0.0000 0.5000 Mg
0.9939 0.3584 0.6499 Mg
0.0000 0.0000 0.5000 Mg
0.4953 0.7778 0.2132 Mg
0.5047 0.2222 0.7868 Mg
0.5000 0.5000 0.0000 Ag
0.0000 0.0000 0.0000 Ac
```

Summary:
DFT total energy ... -1.98 eV per atom
Space group ... C2/m (12)
Total magnetic moment ... 0.00 μB per formula unit

4.
Entry from the Alexandria database: a relaxed HfAgP2Cl crystal (PBE-GGA).

The structure in POSCAR format:
```
HfAgP2Cl
1.0
-3.2888 -2.6426 2.7149
3.7685 -2.6519 1.9839
0.3860 3.3046 3.6841
P Hf Cl Ag
2 1 1 1
Direct
0.5000 0.0000 0.0000 P
0.0000 0.5000 0.0000 P
0.0000 0.0000 0.0000 Hf
0.0000 0.0000 0.5000 Cl
0.5000 0.5000 0.5000 Ag
```

Summary:
DFT total energy ... -5.09 eV per atom
Space group ... P4/mmm (123)
Total magnetic moment ... 0.00 μB per formula unit
Distance to the lowest polymorph of the same formula ... 0.0 meV/atom
Formation energy (no corrections) ... 0.01 eV per atom

5.
Entry from the Alexandria database: a relaxed BaCrSb2 crystal (PBE-GGA).

The structure in POSCAR format:
```
BaCrSb2
1.0
4.8902 0.0000 0.0000
0.0000 4.5736 0.0031
0.0000 2.2808 6.3703
Sb Ba Cr
2 1 1
Direct
0.0000 0.8810 0.8634 Sb
0.5000 0.2125 0.1996 Sb
0.0000 0.5917 0.4421 Ba
0.5000 0.8148 0.9949 Cr
```

Summary:
DFT total energy ... -5.12 eV per atom
Space group ... Amm2 (38)
Total magnetic moment ... 2.00 μB per formula unit
Formation energy (no corrections) ... -0.18 eV per atom

6.
Entry from the Alexandria database: a relaxed CdNiPd14 crystal (PBE-GGA).

The structure in POSCAR format:
```
CdNiPd14
1.0
5.5585 0.7458 0.0000
-0.7458 5.5585 0.0000
0.0000 0.0000 7.8810
Pd Cd Ni
14 1 1
Direct
0.3749 0.6251 0.5000 Pd
0.6207 0.3793 0.7518 Pd
0.8750 0.6250 0.0000 Pd
0.6208 0.8708 0.2482 Pd
0.1292 0.3792 0.2482 Pd
0.6208 0.8708 0.7518 Pd
0.1292 0.3792 0.7518 Pd
0.3750 0.1250 0.0000 Pd
0.8750 0.1250 0.5000 Pd
0.3750 0.1250 0.5000 Pd
0.1293 0.8707 0.7518 Pd
0.8750 0.6250 0.5000 Pd
0.6207 0.3793 0.2482 Pd
0.1293 0.8707 0.2482 Pd
0.8750 0.1250 0.0000 Cd
0.3751 0.6249 0.0000 Ni
```

Summary:
DFT total energy ... -5.00 eV per atom
Space group ... P4/mmm (123)
Total magnetic moment ... 4.39 μB per formula unit

7.
Entry from the Alexandria database: a relaxed Pm2Ru crystal (PBE-GGA).

The structure in POSCAR format:
```
Pm2Ru
1.0
-0.8126 3.5452 -1.5772
-5.9815 -0.0807 -2.0822
-3.6345 3.6618 5.1210
Pm Ru
4 2
Direct
0.8190 0.2672 0.0948 Pm
0.5758 0.2230 0.6255 Pm
0.4242 0.7770 0.3745 Pm
0.1810 0.7328 0.9052 Pm
0.8809 0.5429 0.6953 Ru
0.1191 0.4571 0.3047 Ru
```

Summary:
DFT total energy ... -6.46 eV per atom
Space group ... C2/m (12)
Total magnetic moment ... 0.00 μB per formula unit
Distance to the lowest polymorph of the same formula ... 0.0 meV/atom

8.
Entry from the Alexandria database: a relaxed K12Te3Au5 crystal (PBE-GGA).

The structure in POSCAR format:
```
K12Te3Au5
1.0
-3.9172 -15.9129 -4.8293
3.1899 0.2358 16.7826
-13.1159 10.3901 -3.4504
Te K Au
12 48 20
Direct
0.3750 0.6250 0.2500 Te
0.7500 0.3750 0.1250 Te
0.1250 0.8750 0.7500 Te
0.3750 0.7500 0.6250 Te
0.6250 0.3750 0.7500 Te
0.6250 0.2500 0.3750 Te
0.8750 0.7500 0.1250 Te
0.8750 0.1250 0.2500 Te
0.2500 0.1250 0.3750 Te
0.2500 0.6250 0.8750 Te
0.1250 0.2500 0.8750 Te
0.7500 0.8750 0.6250 Te
0.4160 0.3635 0.5883 K
0.1365 0.4117 0.0840 K
0.5883 0.7249 0.6723 K
0.1365 0.7249 0.5526 K
0.3277 0.7751 0.4117 K
0.7249 0.1365 0.0526 K
0.2751 0.8635 0.9474 K
0.0526 0.6365 0.7249 K
0.8635 0.5883 0.9160 K
0.0840 0.1723 0.4474 K
0.4117 0.1365 0.5840 K
0.8635 0.2751 0.4474 K
0.0883 0.1723 0.2249 K
0.0526 0.4160 0.8277 K
0.4474 0.6723 0.0840 K
0.9117 0.8277 0.7751 K
0.4474 0.7751 0.8635 K
0.9474 0.5840 0.1723 K
0.3635 0.9474 0.7751 K
0.7249 0.5883 0.1723 K
0.0840 0.9117 0.1365 K
0.4160 0.0526 0.3277 K
0.8277 0.9160 0.0526 K
0.9474 0.3635 0.2751 K
0.6365 0.0526 0.2249 K
0.5526 0.2249 0.1365 K
0.7751 0.3277 0.9117 K
0.3277 0.5526 0.4160 K
0.2249 0.5526 0.6365 K
0.3635 0.4160 0.0883 K
0.9160 0.0883 0.8635 K
0.0883 0.9160 0.3635 K
0.8277 0.9117 0.2751 K
0.6723 0.4474 0.5840 K
0.5883 0.8635 0.4160 K
0.5526 0.3277 0.9160 K
0.1723 0.0840 0.9474 K
0.6723 0.2249 0.5883 K
0.2751 0.4117 0.8277 K
0.4117 0.2751 0.3277 K
0.6365 0.5840 0.9117 K
0.9117 0.0840 0.6365 K
0.2249 0.6723 0.0883 K
0.9160 0.8277 0.5526 K
0.7751 0.4474 0.3635 K
0.5840 0.9474 0.6723 K
0.1723 0.0883 0.7249 K
0.5840 0.6365 0.4117 K
0.2500 0.8750 0.1250 Au
0.3750 0.1250 0.7500 Au
0.0000 0.5000 0.5000 Au
0.0000 0.0000 0.0000 Au
0.0000 0.0000 0.5000 Au
0.2500 0.3750 0.6250 Au
0.5000 0.5000 0.5000 Au
0.5000 0.0000 0.0000 Au
0.1250 0.3750 0.2500 Au
0.8750 0.6250 0.7500 Au
0.5000 0.5000 0.0000 Au
0.7500 0.1250 0.8750 Au
0.3750 0.2500 0.1250 Au
0.6250 0.8750 0.2500 Au
0.7500 0.6250 0.3750 Au
0.0000 0.5000 0.0000 Au
0.1250 0.7500 0.3750 Au
0.5000 0.0000 0.5000 Au
0.6250 0.7500 0.8750 Au
0.8750 0.2500 0.6250 Au
```

Summary:
DFT total energy ... -2.47 eV per atom
Space group ... Ia-3d (230)
Total magnetic moment ... 0.00 μB per formula unit
Formation energy (no corrections) ... -0.52 eV per atom

9.
Entry from the Alexandria database: a relaxed RbOs2Pb2 crystal (PBE-GGA).

The structure in POSCAR format:
```
RbOs2Pb2
1.0
-0.0601 -3.7335 -0.5768
2.9296 0.3182 -2.3647
7.4804 -2.9366 5.8540
Pb Rb Os
2 1 2
Direct
0.6388 0.6388 0.7225 Pb
0.3612 0.3612 0.2775 Pb
0.0000 0.0000 0.0000 Rb
0.2500 0.7500 0.5000 Os
0.7500 0.2500 0.5000 Os
```

Summary:
DFT total energy ... -5.62 eV per atom
Space group ... I4/mmm (139)
Total magnetic moment ... 0.00 μB per formula unit
Distance to the lowest polymorph of the same formula ... 0.0 meV/atom

10.
Entry from the Alexandria database: a relaxed TcRuI2F crystal (PBE-GGA).

The structure in POSCAR format:
```
TcRuI2F
1.0
-3.1333 3.6369 -3.2313
2.1542 -0.9726 -3.1835
-3.7127 -4.2713 -1.2073
I Ru Tc F
2 1 1 1
Direct
0.0000 0.0000 0.5000 I
0.5000 0.0000 0.0000 I
0.0000 0.5000 0.0000 Ru
0.5000 0.5000 0.5000 Tc
0.0000 0.0000 0.0000 F
```

Summary:
DFT total energy ... -3.99 eV per atom
Space group ... P4/mmm (123)
Total magnetic moment ... 8.02 μB per formula unit
Formation energy (no corrections) ... 0.93 eV per atom

11.
Entry from the Alexandria database: a relaxed PrAl3Fe crystal (PBE-GGA).

The structure in POSCAR format:
```
PrAl3Fe
1.0
4.5612 0.0000 0.0000
0.0000 4.5612 0.0000
0.0000 0.0000 4.5612
Al Fe Pr
3 1 1
Direct
0.5000 0.0000 0.0000 Al
0.0000 0.0000 0.5000 Al
0.0000 0.5000 0.0000 Al
0.0000 0.0000 0.0000 Fe
0.5000 0.5000 0.5000 Pr
```

Summary:
DFT total energy ... -5.28 eV per atom
Space group ... Pm-3m (221)
Total magnetic moment ... 0.00 μB per formula unit

12.
Entry from the Alexandria database: a relaxed Sr2Cl crystal (PBE-GGA).

The structure in POSCAR format:
```
Sr2Cl
1.0
1.8822 0.2806 -4.5107
-2.0642 -4.1649 1.5363
-13.1228 4.5891 -5.1904
Sr Cl
4 2
Direct
0.6667 0.3333 0.7500 Sr
0.3333 0.6667 0.2500 Sr
0.0000 0.0000 0.5000 Sr
0.0000 0.0000 0.0000 Sr
0.3333 0.6667 0.7500 Cl
0.6667 0.3333 0.2500 Cl
```

Summary:
DFT total energy ... -2.64 eV per atom
Space group ... P6_3/mmc (194)
Total magnetic moment ... 0.00 μB per formula unit
Distance to the lowest polymorph of the same formula ... 192.3 meV/atom
Formation energy (no corrections) ... -0.91 eV per atom

13.
Entry from the Alexandria database: a relaxed La2TbHo2Cd5 crystal (PBE-GGA).

The structure in POSCAR format:
```
La2TbHo2Cd5
1.0
-2.3721 -3.5118 2.2311
1.6724 -6.4643 -8.3967
9.1684 -3.3797 4.4280
Ho La Cd Tb
4 4 10 2
Direct
0.0000 0.8772 0.3772 Ho
0.0000 0.1228 0.6228 Ho
0.0000 0.3772 0.1228 Ho
0.0000 0.6228 0.8772 Ho
0.0000 0.8243 0.6757 La
0.0000 0.3243 0.8243 La
0.0000 0.6757 0.1757 La
0.0000 0.1757 0.3243 La
0.5000 0.8046 0.9328 Cd
0.5000 0.1954 0.0672 Cd
0.5000 0.5672 0.6954 Cd
0.5000 0.4328 0.3046 Cd
0.5000 0.5000 0.0000 Cd
0.5000 0.6954 0.4328 Cd
0.5000 0.3046 0.5672 Cd
0.5000 0.0000 0.5000 Cd
0.5000 0.9328 0.1954 Cd
0.5000 0.0672 0.8046 Cd
0.0000 0.5000 0.5000 Tb
0.0000 0.0000 0.0000 Tb
```

Summary:
DFT total energy ... -3.03 eV per atom
Space group ... P4/mbm (127)
Total magnetic moment ... 0.00 μB per formula unit

14.
Entry from the Alexandria database: a relaxed AlAsCl2 crystal (PBE-GGA).

The structure in POSCAR format:
```
AlAsCl2
1.0
-0.2075 -4.4122 2.9407
-1.7899 -1.0005 -4.8943
1.9845 -3.4535 -1.9046
Cl Al As
2 1 1
Direct
0.5000 0.5000 0.0000 Cl
0.0000 0.0000 0.0000 Cl
0.5000 0.0000 0.5000 Al
0.0000 0.5000 0.5000 As
```

Summary:
DFT total energy ... -3.11 eV per atom
Space group ... C2/m (12)
Total magnetic moment ... 0.00 μB per formula unit
Distance to the lowest polymorph of the same formula ... 527.2 meV/atom
Formation energy (no corrections) ... -0.09 eV per atom

15.
Entry from the Alexandria database: a relaxed GeTeRu crystal (PBE-GGA).

The structure in POSCAR format:
```
GeTeRu
1.0
-0.6801 0.2911 6.4943
-4.8478 -4.4740 -0.3071
6.3502 -1.5631 0.7350
Te Ge Ru
4 4 4
Direct
0.8795 0.1639 0.8224 Te
0.3795 0.8361 0.6776 Te
0.1205 0.8361 0.1776 Te
0.6205 0.1639 0.3224 Te
0.1646 0.3534 0.6460 Ge
0.3354 0.3534 0.1460 Ge
0.6646 0.6466 0.8540 Ge
0.8354 0.6466 0.3540 Ge
0.9999 0.7473 0.7547 Ru
0.4999 0.2527 0.7453 Ru
0.5001 0.7473 0.2547 Ru
0.0001 0.2527 0.2453 Ru
```

Summary:
DFT total energy ... -5.94 eV per atom
Space group ... P2_1/c (14)
Total magnetic moment ... 0.00 μB per formula unit
Formation energy (no corrections) ... -0.26 eV per atom

16.
Entry from the Alexandria database: a relaxed Dy7YHo5 crystal (PBE-GGA).

The structure in POSCAR format:
```
Dy7YHo5
1.0
-6.1547 2.4715 0.3192
-5.5738 -4.3097 -5.0389
-4.8188 -3.8647 6.0725
Dy Ho Y
7 5 1
Direct
0.5788 0.4212 0.4212 Dy
0.5182 0.1551 0.8084 Dy
0.2744 0.7256 0.7256 Dy
0.0176 0.3136 0.6512 Dy
0.5182 0.8084 0.1551 Dy
0.0176 0.6512 0.3136 Dy
0.2690 0.2310 0.2310 Dy
0.5363 0.4588 0.0022 Ho
0.5363 0.0022 0.4588 Ho
0.0027 0.0022 0.4588 Ho
0.0027 0.4588 0.0022 Ho
0.7639 0.7361 0.7361 Ho
0.9643 0.0357 0.0357 Y
```

Summary:
DFT total energy ... -4.48 eV per atom
Space group ... Imm2 (44)
Total magnetic moment ... 0.01 μB per formula unit